No. 1
# K2ErUO6 (PBE, optimized geometry)
data_K2ErUO6
_cell_length_a 6.1071
_cell_length_b 6.1068
_cell_length_c 6.1062
_cell_angle_alpha 60.00
_cell_angle_beta 60.00
_cell_angle_gamma 90.00
_symmetry_space_group_name_H-M 'P 1'
_symmetry_Int_Tables_number 1
loop_
_symmetry_equiv_pos_as_xyz
'x,y,z'
loop_
_atom_site_label
_atom_site_fract_x
_atom_site_fract_y
_atom_site_fract_z
_atom_site_occupancy
K1 0.7500 0.2500 0.5000 1
K2 0.2500 0.7500 0.5000 1
O1 0.7407 0.7407 0.5187 1
O2 0.7407 0.7408 0.9999 1
O3 0.2593 0.2592 0.0001 1
O4 0.2593 0.2593 0.4813 1
O5 0.2594 0.7407 0.0000 1
O6 0.7406 0.2593 0.0000 1
Er1 0.0000 0.0000 0.0000 1
U1 0.5000 0.5000 0.0000 1
# electronic total energy = -7.4817 eV/atom
# spin magnetization = 0.100 μB per atom
# DOS at the Fermi energy = 0.87 states/eV per atom
# symmetry = Fm-3m (225)


No. 2
# BaBRuRh2 (PBE, optimized geometry)
data_BaBRuRh2
_cell_length_a 4.6655
_cell_length_b 5.9610
_cell_length_c 4.6655
_cell_angle_alpha 90.00
_cell_angle_beta 90.00
_cell_angle_gamma 90.00
_symmetry_space_group_name_H-M 'P 1'
_symmetry_Int_Tables_number 1
loop_
_symmetry_equiv_pos_as_xyz
'x,y,z'
loop_
_atom_site_label
_atom_site_fract_x
_atom_site_fract_y
_atom_site_fract_z
_atom_site_occupancy
Ba1 0.0000 0.5000 0.0000 1
Rh1 0.0000 0.0000 0.5000 1
Rh2 0.5000 0.0000 0.0000 1
Ru1 0.0000 0.0000 0.0000 1
B1 0.5000 0.5000 0.5000 1
# electronic total energy = -4.9106 eV/atom
# spin magnetization = 0.051 μB per atom
# DOS at the Fermi energy = 1.01 states/eV per atom
# symmetry = P4/mmm (123)
# energy of formation from the pure elements = 1.605 eV/atom


No. 3
# Cs2ZnAuO (PBE, optimized geometry)
data_Cs2ZnAuO
_cell_length_a 4.7145
_cell_length_b 7.3843
_cell_length_c 10.2041
_cell_angle_alpha 110.01
_cell_angle_beta 90.00
_cell_angle_gamma 90.00
_symmetry_space_group_name_H-M 'P 1'
_symmetry_Int_Tables_number 1
loop_
_symmetry_equiv_pos_as_xyz
'x,y,z'
loop_
_atom_site_label
_atom_site_fract_x
_atom_site_fract_y
_atom_site_fract_z
_atom_site_occupancy
O1 0.7500 0.2075 0.1777 1
O2 0.2500 0.7925 0.8223 1
Au1 0.7500 0.3701 0.7014 1
Au2 0.2500 0.6299 0.2986 1
Cs1 0.7500 0.7943 0.0304 1
Cs2 0.7500 0.8353 0.6343 1
Cs3 0.2500 0.2057 0.9696 1
Cs4 0.2500 0.1647 0.3657 1
Zn1 0.2500 0.5238 0.7439 1
Zn2 0.7500 0.4762 0.2561 1
# relative energy among the computed polymorphs = 0 meV per atom
# electronic total energy = -2.9864 eV/atom
# spin magnetization = 0.000 μB per atom
# DOS at the Fermi energy = 0.38 states/eV per atom
# symmetry = P2_1/m (11)


No. 4
# CaNb3N (PBE, optimized geometry)
data_CaNb3N
_cell_length_a 4.6808
_cell_length_b 4.6808
_cell_length_c 4.6808
_cell_angle_alpha 90.00
_cell_angle_beta 90.00
_cell_angle_gamma 90.00
_symmetry_space_group_name_H-M 'P 1'
_symmetry_Int_Tables_number 1
loop_
_symmetry_equiv_pos_as_xyz
'x,y,z'
loop_
_atom_site_label
_atom_site_fract_x
_atom_site_fract_y
_atom_site_fract_z
_atom_site_occupancy
Nb1 0.5000 0.0000 0.0000 1
Nb2 0.0000 0.0000 0.5000 1
Nb3 0.0000 0.5000 0.0000 1
Ca1 0.0000 0.0000 0.0000 1
N1 0.5000 0.5000 0.5000 1
# relative energy among the computed polymorphs = 3364 meV per atom
# electronic total energy = -4.8100 eV/atom
# spin magnetization = 0.000 μB per atom
# DOS at the Fermi energy = 1.79 states/eV per atom
# symmetry = Pm-3m (221)


No. 5
# Li2Mg7Ga2 (PBE, optimized geometry)
data_Li2Mg7Ga2
_cell_length_a 5.6249
_cell_length_b 5.6249
_cell_length_c 7.4135
_cell_angle_alpha 99.49
_cell_angle_beta 99.49
_cell_angle_gamma 96.55
_symmetry_space_group_name_H-M 'P 1'
_symmetry_Int_Tables_number 1
loop_
_symmetry_equiv_pos_as_xyz
'x,y,z'
loop_
_atom_site_label
_atom_site_fract_x
_atom_site_fract_y
_atom_site_fract_z
_atom_site_occupancy
Mg1 0.0000 0.0000 0.0000 1
Mg2 0.0813 0.4638 0.8022 1
Mg3 0.4638 0.0813 0.8022 1
Mg4 0.9187 0.5362 0.1978 1
Mg5 0.1609 0.1609 0.4194 1
Mg6 0.8391 0.8391 0.5806 1
Mg7 0.5362 0.9187 0.1978 1
Li1 0.4013 0.4013 0.1668 1
Li2 0.5987 0.5987 0.8332 1
Ga1 0.3212 0.6788 0.5000 1
Ga2 0.6788 0.3212 0.5000 1
# electronic total energy = -2.0074 eV/atom
# spin magnetization = 0.000 μB per atom
# DOS at the Fermi energy = 0.44 states/eV per atom
# symmetry = C2/m (12)
# energy of formation from the pure elements = -0.094 eV/atom


No. 6
# RbScBi3 (PBE, optimized geometry)
data_RbScBi3
_cell_length_a 5.9329
_cell_length_b 5.9329
_cell_length_c 5.9329
_cell_angle_alpha 90.00
_cell_angle_beta 90.00
_cell_angle_gamma 90.00
_symmetry_space_group_name_H-M 'P 1'
_symmetry_Int_Tables_number 1
loop_
_symmetry_equiv_pos_as_xyz
'x,y,z'
loop_
_atom_site_label
_atom_site_fract_x
_atom_site_fract_y
_atom_site_fract_z
_atom_site_occupancy
Sc1 0.5000 0.5000 0.5000 1
Bi1 0.0000 0.5000 0.0000 1
Bi2 0.0000 0.0000 0.5000 1
Bi3 0.5000 0.0000 0.0000 1
Rb1 0.0000 0.0000 0.0000 1
# relative energy among the computed polymorphs = 1412 meV per atom
# electronic total energy = -2.5843 eV/atom
# spin magnetization = 0.000 μB per atom
# DOS at the Fermi energy = 1.53 states/eV per atom
# symmetry = Pm-3m (221)
# energy of formation from the pure elements = 1.204 eV/atom